VASP calculation (PBE) on a relaxed structure of CrGa2AsRu.

The structure in extended XYZ format:
```
5
Lattice="4.808 0.000 0.000 0.000 4.491 0.000 0.000 0.000 4.808" Properties=species:S:1:pos:R:3 pbc="T T T"
As 0.000 0.000 0.000
Ru 0.000 2.246 0.000
Ga 2.404 0.000 0.000
Cr 2.404 2.246 2.404
Ga 0.000 0.000 2.404
```

Summary:
Space group: P4/mmm
Total energy (eV per atom): -4.5923
Calculated formation energy (eV/atom): 1.328
Density of states at the Fermi level (states/eV/f.u.): 6.755
Magnetic moment (μB per formula unit): 0.30

VASP calculation (PBE) on a relaxed structure of CrGaAsSe2.

The structure in extended XYZ format:
```
5
Lattice="4.841 0.000 0.000 0.000 4.841 0.000 0.000 0.000 4.659" Properties=species:S:1:pos:R:3 pbc="T T T"
Se 0.000 2.421 0.000
Ga 2.421 2.421 2.330
Cr 0.000 0.000 0.000
As 0.000 0.000 2.330
Se 2.421 0.000 0.000
```

Summary:
Space group: P4/mmm
Total energy (eV per atom): -4.6257
E_form (uncorrected) (eV/atom): 0.23
Density of states at the Fermi level (states/eV/f.u.): 6.453
Magnetic moment (μB per formula unit): 0.00
Offset from the most stable computed form (meV/atom): 0.0

VASP calculation (PBE) on a relaxed structure of CrGaAs2Se.

The structure in extended XYZ format:
```
5
Lattice="-2.123 2.611 3.175 0.296 -3.467 3.049 4.597 1.796 1.597" Properties=species:S:1:pos:R:3 pbc="T T T"
Ga 1.385 0.470 3.910
As -1.062 1.305 1.587
As 0.148 -1.734 1.524
Se 2.299 0.898 0.798
Cr 0.000 0.000 0.000
```

Summary:
Space group: P4/mmm
Total energy (eV per atom): -4.8245
E_form (uncorrected) (eV/atom): 0.26
Density of states at the Fermi level (states/eV/f.u.): 3.663
Magnetic moment (μB per formula unit): 1.47
Offset from the most stable computed form (meV/atom): 0.0

VASP calculation (PBE) on a relaxed structure of CrGaAsSe2.

The structure in extended XYZ format:
```
5
Lattice="4.931 0.000 0.000 0.000 4.931 0.000 0.000 0.000 4.759" Properties=species:S:1:pos:R:3 pbc="T T T"
Se 2.466 0.000 0.000
As 0.000 0.000 2.380
Cr 2.466 2.466 2.380
Ga 0.000 0.000 0.000
Se 0.000 2.466 0.000
```

Summary:
Space group: P4/mmm
Total energy (eV per atom): -3.7492
E_form (uncorrected) (eV/atom): 1.10
Density of states at the Fermi level (states/eV/f.u.): 7.334
Magnetic moment (μB per formula unit): 0.19
Offset from the most stable computed form (meV/atom): 876.5

VASP calculation (PBE) on a relaxed structure of CrGaAs2Se.

The structure in extended XYZ format:
```
5
Lattice="4.798 0.000 0.000 0.000 4.798 0.000 0.000 0.000 4.951" Properties=species:S:1:pos:R:3 pbc="T T T"
As 2.399 0.000 0.000
Se 0.000 0.000 2.475
As 0.000 2.399 0.000
Cr 2.399 2.399 2.475
Ga 0.000 0.000 0.000
```

Summary:
Space group: P4/mmm
Total energy (eV per atom): -3.8746
E_form (uncorrected) (eV/atom): 1.21
Density of states at the Fermi level (states/eV/f.u.): 5.474
Magnetic moment (μB per formula unit): 0.50
Offset from the most stable computed form (meV/atom): 950.0

VASP calculation (PBE) on a relaxed structure of TaCrGaAs2.

The structure in extended XYZ format:
```
5
Lattice="4.976 0.000 0.000 0.000 5.064 0.000 0.000 0.000 4.976" Properties=species:S:1:pos:R:3 pbc="T T T"
As 0.000 0.000 2.488
As 2.488 0.000 0.000
Cr 0.000 2.532 0.000
Ta 0.000 0.000 0.000
Ga 2.488 2.532 2.488
```

Summary:
Space group: P4/mmm
Total energy (eV per atom): -6.0553
Calculated formation energy (eV/atom): 0.705
Density of states at the Fermi level (states/eV/f.u.): 5.392
Magnetic moment (μB per formula unit): 3.60

VASP calculation (PBE) on a relaxed structure of CrGa2TcAs.

The structure in extended XYZ format:
```
5
Lattice="-1.884 1.362 -4.182 3.876 -1.136 -2.117 -1.674 -4.430 -0.688" Properties=species:S:1:pos:R:3 pbc="T T T"
Ga -0.942 0.681 -2.091
Cr 0.159 -2.102 -3.493
As 0.000 0.000 0.000
Ga -0.837 -2.215 -0.344
Tc 1.938 -0.568 -1.058
```

Summary:
Space group: P4/mmm
Total energy (eV per atom): -4.7085
Calculated formation energy (eV/atom): 1.430
Density of states at the Fermi level (states/eV/f.u.): 6.758
Magnetic moment (μB per formula unit): 0.92

VASP calculation (PBE) on a relaxed structure of Ti2CrGaAs.

The structure in extended XYZ format:
```
5
Lattice="-2.877 -0.159 -3.691 0.325 -4.336 -0.066 -3.677 -0.320 2.881" Properties=species:S:1:pos:R:3 pbc="T T T"
Ti -1.839 -0.160 1.440
As 0.000 0.000 0.000
Ti -1.439 -0.080 -1.845
Ga -3.115 -2.407 -0.438
Cr 0.163 -2.168 -0.033
```

Summary:
Space group: P4/mmm
Total energy (eV per atom): -6.2295
Calculated formation energy (eV/atom): 0.388
Density of states at the Fermi level (states/eV/f.u.): 8.162
Magnetic moment (μB per formula unit): 0.00

VASP calculation (PBE) on a relaxed structure of YCr2GaAs.

The structure in extended XYZ format:
```
5
Lattice="4.576 0.000 0.000 0.000 5.030 0.000 0.000 0.000 4.576" Properties=species:S:1:pos:R:3 pbc="T T T"
Cr 2.288 0.000 0.000
Cr 0.000 0.000 2.288
Ga 0.000 2.515 0.000
Y 2.288 2.515 2.288
As 0.000 0.000 0.000
```

Summary:
Space group: P4/mmm
Total energy (eV per atom): -6.2749
Calculated formation energy (eV/atom): 0.403
Density of states at the Fermi level (states/eV/f.u.): 3.319
Magnetic moment (μB per formula unit): 5.20

VASP calculation (PBE) on a relaxed structure of CrGeAs3.

The structure in extended XYZ format:
```
5
Lattice="4.907 0.000 0.000 0.000 4.907 0.000 0.000 0.000 4.907" Properties=species:S:1:pos:R:3 pbc="T T T"
Cr 2.454 2.454 2.454
As 0.000 0.000 2.454
Ge 0.000 0.000 0.000
As 2.454 0.000 0.000
As 0.000 2.454 0.000
```

Summary:
Space group: Pm-3m
Total energy (eV per atom): -4.6699
Calculated formation energy (eV/atom): 0.968
Density of states at the Fermi level (states/eV/f.u.): 3.478
Magnetic moment (μB per formula unit): 3.86
Offset from the most stable computed form (meV/atom): 501.2

VASP calculation (PBE) on a relaxed structure of CrGe3As.

The structure in extended XYZ format:
```
5
Lattice="-2.932 -3.689 0.141 3.170 -2.608 -2.317 1.891 -1.346 4.103" Properties=species:S:1:pos:R:3 pbc="T T T"
Cr 0.000 0.000 0.000
Ge -1.466 -1.844 0.071
Ge 1.585 -1.304 -1.159
As 1.065 -3.822 0.963
Ge 0.946 -0.673 2.051
```

Summary:
Space group: Pm-3m
Total energy (eV per atom): -5.1663
Calculated formation energy (eV/atom): 0.459
Density of states at the Fermi level (states/eV/f.u.): 2.635
Magnetic moment (μB per formula unit): 2.74
Offset from the most stable computed form (meV/atom): 0.0

VASP calculation (PBE) on a relaxed structure of Cr2Ge2As.

The structure in extended XYZ format:
```
5
Lattice="4.517 0.000 0.000 0.000 4.517 0.000 2.259 2.259 4.260" Properties=species:S:1:pos:R:3 pbc="T T T"
As 0.000 0.000 0.000
Cr 2.259 4.517 2.130
Cr 4.517 2.259 2.130
Ge 2.259 2.259 1.212
Ge 4.517 4.517 3.048
```

Summary:
Space group: I4/mmm
Total energy (eV per atom): -6.1882
Calculated formation energy (eV/atom): 0.438
Density of states at the Fermi level (states/eV/f.u.): 3.664
Magnetic moment (μB per formula unit): 4.15
Offset from the most stable computed form (meV/atom): 247.0

What is the magnetic moment in the second record?
0.00 μB per formula unit

Which formula does entry 6 have?
TaCrGaAs2

Repeat the sixth record exactly.
VASP calculation (PBE) on a relaxed structure of TaCrGaAs2.

The structure in extended XYZ format:
```
5
Lattice="4.976 0.000 0.000 0.000 5.064 0.000 0.000 0.000 4.976" Properties=species:S:1:pos:R:3 pbc="T T T"
As 0.000 0.000 2.488
As 2.488 0.000 0.000
Cr 0.000 2.532 0.000
Ta 0.000 0.000 0.000
Ga 2.488 2.532 2.488
```

Summary:
Space group: P4/mmm
Total energy (eV per atom): -6.0553
Calculated formation energy (eV/atom): 0.705
Density of states at the Fermi level (states/eV/f.u.): 5.392
Magnetic moment (μB per formula unit): 3.60

density of states at the Fermi level of number 2 (CrGaAsSe2)?
6.453 states/eV/f.u.